SmNpFeO6: relaxed, PBE with a Hubbard U.

a = 5.6586 Å, b = 5.6586 Å, c = 8.7358 Å
α = 90.00°, β = 90.00°, γ = 120.00°
Atoms (fractional coordinates):
Sm (0.3333, 0.6667, 0.2500)
Sm (0.6667, 0.3333, 0.7500)
Np (0.3333, 0.6667, 0.7500)
Np (0.6667, 0.3333, 0.2500)
Fe (0.0000, 0.0000, 0.0000)
Fe (0.0000, 0.0000, 0.5000)
O (0.0369, 0.3403, 0.6237)
O (0.0369, 0.6965, 0.8763)
O (0.3035, 0.3403, 0.8763)
O (0.3035, 0.9631, 0.6237)
O (0.3403, 0.0369, 0.1237)
O (0.3403, 0.3035, 0.3763)
O (0.6597, 0.6965, 0.6237)
O (0.6597, 0.9631, 0.8763)
O (0.6965, 0.0369, 0.3763)
O (0.6965, 0.6597, 0.1237)
O (0.9631, 0.3035, 0.1237)
O (0.9631, 0.6597, 0.3763)

Total moment in μB/cell: 12.00
Total DFT energy (no corrections) in eV for the cell shown: -149.52